Entry 1:
A plane-wave DFT calculation with PBE was carried out for Sr2NbPd after structural relaxation.

Cell lengths 6.982, 6.982, 6.982 Å; angles 102.14, 102.14, 125.40 degrees
Positions (direct):
Sr 0.072 0.625 0.947
Sr 0.375 0.322 0.447
Sr 0.678 0.125 0.053
Sr 0.875 0.928 0.553
Nb 0.250 0.750 0.500
Nb 0.500 0.500 0.000
Pd 0.000 0.000 0.000
Pd 0.750 0.250 0.500

## Properties
**Energy above the lowest structure with this stoichiometry**: 0.61 eV/f.u.

=====

Entry 2:
A plane-wave DFT calculation with PBE was carried out for SrNbPd2 after structural relaxation.

Cell lengths 4.870, 4.870, 4.870 Å; angles 60.00, 60.00, 60.00 degrees
Positions (direct):
Sr 0.000 0.000 0.000
Nb 0.500 0.500 0.500
Pd 0.250 0.250 0.250
Pd 0.750 0.750 0.750

## Properties
**Energy above the lowest structure with this stoichiometry**: 0.00 eV/f.u.

=====

Entry 3:
A plane-wave DFT calculation with PBE was carried out for SrNbPd2 after structural relaxation.

Cell lengths 6.301, 6.301, 6.301 Å; angles 105.19, 105.19, 118.42 degrees
Positions (direct):
Sr 0.000 0.000 0.000
Sr 0.750 0.250 0.500
Nb 0.250 0.750 0.500
Nb 0.500 0.500 0.000
Pd 0.180 0.625 0.055
Pd 0.375 0.430 0.555
Pd 0.570 0.125 0.945
Pd 0.875 0.820 0.445

## Properties
**Energy above the lowest structure with this stoichiometry**: 0.51 eV/f.u.

=====

Entry 4:
A plane-wave DFT calculation with PBE was carried out for Ta2NbPd8 after structural relaxation.

Cell lengths 7.396, 7.396, 6.491 Å; angles 107.97, 107.97, 31.44 degrees
Positions (direct):
Ta 0.218 0.218 0.155
Ta 0.782 0.782 0.845
Nb 0.500 0.500 0.500
Pd 0.042 0.042 0.235
Pd 0.143 0.143 0.696
Pd 0.320 0.320 0.589
Pd 0.399 0.399 0.052
Pd 0.601 0.601 0.948
Pd 0.680 0.680 0.411
Pd 0.857 0.857 0.304
Pd 0.958 0.958 0.765

=====

Entry 5:
A plane-wave DFT calculation with PBE was carried out for Ta8Nb3Pd2 after structural relaxation.

Cell lengths 5.450, 5.535, 7.951 Å; angles 89.31, 75.58, 84.03 degrees
Positions (direct):
Ta 0.076 0.042 0.152
Ta 0.148 0.578 0.303
Ta 0.311 0.652 0.609
Ta 0.382 0.189 0.771
Ta 0.618 0.811 0.229
Ta 0.689 0.348 0.391
Ta 0.852 0.422 0.697
Ta 0.924 0.958 0.848
Nb 0.000 0.500 0.000
Nb 0.227 0.113 0.461
Nb 0.773 0.887 0.539
Pd 0.460 0.730 0.918
Pd 0.540 0.270 0.082

=====

Entry 6:
A plane-wave DFT calculation with PBE was carried out for TaNb3Pd after structural relaxation.

Cell lengths 7.343, 7.343, 7.343 Å; angles 154.54, 144.68, 44.05 degrees
Positions (direct):
Ta 0.000 0.000 0.000
Nb 0.299 0.799 0.500
Nb 0.476 0.476 0.000
Nb 0.815 0.315 0.500
Pd 0.660 0.660 0.000

## Properties
**Energy above the lowest structure with this stoichiometry**: 0.00 eV/f.u.

=====

Entry 7:
A plane-wave DFT calculation with PBE was carried out for TaNb3Pd after structural relaxation.

Cell lengths 4.860, 4.860, 4.860 Å; angles 90.00, 90.00, 90.00 degrees
Positions (direct):
Ta 0.000 0.000 0.000
Nb 0.000 0.000 0.500
Nb 0.000 0.500 0.000
Nb 0.500 0.000 0.000
Pd 0.500 0.500 0.500

## Properties
**Energy above the lowest structure with this stoichiometry**: 5.78 eV/f.u.

=====

Entry 8:
A plane-wave DFT calculation with PBE was carried out for Ta3Nb2Pd after structural relaxation.

Cell lengths 5.282, 2.813, 14.645 Å; angles 90.00, 96.48, 90.00 degrees
Positions (direct):
Ta 0.067 0.250 0.172
Ta 0.255 0.250 0.485
Ta 0.424 0.250 0.832
Ta 0.576 0.750 0.168
Ta 0.745 0.750 0.515
Ta 0.933 0.750 0.828
Nb 0.186 0.750 0.656
Nb 0.248 0.250 0.002
Nb 0.752 0.750 0.998
Nb 0.814 0.250 0.344
Pd 0.323 0.750 0.326
Pd 0.677 0.250 0.674

## Properties
**Energy above the lowest structure with this stoichiometry**: 0.91 eV/f.u.

=====

Entry 9:
A plane-wave DFT calculation with PBE was carried out for Ta7Nb2Pd after structural relaxation.

Cell lengths 2.867, 5.489, 11.679 Å; angles 82.58, 85.52, 80.24 degrees
Positions (direct):
Ta 0.000 0.000 0.000
Ta 0.105 0.099 0.600
Ta 0.200 0.197 0.198
Ta 0.304 0.294 0.802
Ta 0.696 0.706 0.198
Ta 0.800 0.803 0.802
Ta 0.895 0.901 0.400
Nb 0.402 0.400 0.396
Nb 0.598 0.600 0.604
Pd 0.500 0.500 0.000

=====

Entry 10:
A plane-wave DFT calculation with PBE was carried out for Ta6Nb3Pd after structural relaxation.

Cell lengths 8.040, 4.724, 9.874 Å; angles 90.00, 106.89, 90.00 degrees
Positions (direct):
Ta 0.044 0.250 0.395
Ta 0.139 0.750 0.197
Ta 0.257 0.250 0.000
Ta 0.348 0.250 0.300
Ta 0.354 0.750 0.806
Ta 0.448 0.250 0.596
Ta 0.552 0.750 0.404
Ta 0.646 0.250 0.194
Ta 0.652 0.750 0.700
Ta 0.743 0.750 0.000
Ta 0.861 0.250 0.803
Ta 0.956 0.750 0.605
Nb 0.052 0.750 0.902
Nb 0.157 0.250 0.703
Nb 0.253 0.750 0.502
Nb 0.747 0.250 0.498
Nb 0.843 0.750 0.297
Nb 0.948 0.250 0.098
Pd 0.442 0.750 0.112
Pd 0.558 0.250 0.888

=====

Entry 11:
A plane-wave DFT calculation with PBE was carried out for Ta2Nb3Pd after structural relaxation.

Cell lengths 8.584, 8.584, 8.584 Å; angles 120.29, 120.29, 89.50 degrees
Positions (direct):
Ta 0.278 0.713 0.564
Ta 0.287 0.351 0.564
Ta 0.287 0.722 0.936
Ta 0.351 0.287 0.064
Ta 0.649 0.713 0.936
Ta 0.713 0.278 0.064
Ta 0.713 0.649 0.436
Ta 0.722 0.287 0.436
Nb 0.000 0.500 0.500
Nb 0.059 0.309 0.118
Nb 0.059 0.941 0.750
Nb 0.309 0.059 0.618
Nb 0.309 0.691 0.250
Nb 0.500 0.000 0.000
Nb 0.500 0.500 0.000
Nb 0.500 0.500 0.500
Nb 0.691 0.309 0.750
Nb 0.691 0.941 0.382
Nb 0.941 0.059 0.250
Nb 0.941 0.691 0.882
Pd 0.070 0.320 0.750
Pd 0.320 0.070 0.250
Pd 0.680 0.930 0.750
Pd 0.930 0.680 0.250

=====

Entry 12:
A plane-wave DFT calculation with PBE was carried out for Ta3NbPd after structural relaxation.

Cell lengths 4.799, 4.799, 4.799 Å; angles 90.00, 90.00, 90.00 degrees
Positions (direct):
Ta 0.000 0.000 0.500
Ta 0.000 0.500 0.000
Ta 0.500 0.000 0.000
Nb 0.500 0.500 0.500
Pd 0.000 0.000 0.000

## Properties
**Energy above the lowest structure with this stoichiometry**: 6.11 eV/f.u.

=====

In the order shown, the computed magnetization values come out to 7.35 0.00 2.07 0.00 0.00 0.00 0.00 0.00 0.00 0.00 0.00 0.00 Bohr magnetons per cell.
In the order shown, the computed N(E_F) values come out to 4.53 4.77 3.34 6.55 11.68 4.90 8.62 6.45 9.80 11.12 7.84 6.02 states/eV/f.u..
In the order shown, the computed formation energy from the elements values come out to 0.661 0.079 0.206 -0.390 -0.098 0.336 1.493 0.054 -0.055 -0.071 0.199 1.449 eV/atom.